[1]
{
  "formula": "Ac2CeSm",
  "functional": "PBE",
  "state": "relaxed",
  "final_energy_ev_per_atom": -4.443,
  "vol_a3_per_cell": 157.1,
  "de_polymorph_mev_per_atom": 168.6,
  "m_tot_mub_per_fu": 1.59,
  "e_form_ev_per_atom": 0.27,
  "lattice_angstrom": [[-3.2223, 0.7797, -1.6792], [-3.0811, -1.8536, 0.9394], [-4.7155, 8.6501, 8.9531]],
  "species": ["Ac", "Ac", "Ce", "Sm"],
  "frac_coords": [[0.0883, 0.0883, 0.7352], [0.9117, 0.9117, 0.2648], [0.0000, 0.0000, 0.0000], [0.5000, 0.5000, 0.5000]]
}

[2]
{
  "formula": "AcCeSmSn",
  "functional": "PBE",
  "state": "relaxed",
  "final_energy_ev_per_atom": -4.845,
  "vol_a3_per_cell": 125.2,
  "m_tot_mub_per_fu": 1.20,
  "e_form_ev_per_atom": -0.15,
  "lattice_angstrom": [[-5.1095, -2.1940, -0.7824], [-1.1076, -5.2248, 1.7340], [-3.3975, -0.8399, 4.3914]],
  "species": ["Ac", "Ce", "Sm", "Sn"],
  "frac_coords": [[0.7500, 0.7500, 0.7500], [0.5000, 0.5000, 0.5000], [0.0000, 0.0000, 0.0000], [0.2500, 0.2500, 0.2500]]
}

[3]
{
  "formula": "AcTbCeSm",
  "functional": "PBE",
  "state": "relaxed",
  "final_energy_ev_per_atom": -4.640,
  "vol_a3_per_cell": 143.1,
  "m_tot_mub_per_fu": 1.01,
  "e_form_ev_per_atom": 0.21,
  "lattice_angstrom": [[5.8712, 0.0000, 0.0000], [2.9356, 5.0846, 0.0000], [2.9356, 1.6949, 4.7938]],
  "species": ["Ac", "Tb", "Ce", "Sm"],
  "frac_coords": [[0.5000, 0.5000, 0.5000], [0.7500, 0.7500, 0.7500], [0.0000, 0.0000, 0.0000], [0.2500, 0.2500, 0.2500]]
}

[4]
{
  "formula": "Ac3CeSm2Te6",
  "functional": "PBE",
  "state": "relaxed",
  "e_form_raw_ev_per_atom": -1.43,
  "final_energy_ev_per_atom": -5.309,
  "vol_a3_per_cell": 412.4,
  "m_tot_mub_per_fu": 1.34,
  "lattice_angstrom": [[4.5520, 0.0000, 0.0000], [0.0000, 9.2899, 0.2685], [-2.2760, -2.7412, 9.6739]],
  "species": ["Ac", "Ac", "Ac", "Ce", "Sm", "Sm", "Te", "Te", "Te", "Te", "Te", "Te"],
  "frac_coords": [[0.5000, 0.5000, 0.0000], [0.8346, 0.1675, 0.6693], [0.1654, 0.8325, 0.3307], [0.5000, 0.0000, 0.0000], [0.8332, 0.6674, 0.6664], [0.1668, 0.3326, 0.3336], [0.3358, 0.9055, 0.6715], [0.6710, 0.5724, 0.3419], [0.6642, 0.0945, 0.3285], [0.0051, 0.2425, 0.0102], [0.9949, 0.7575, 0.9898], [0.3290, 0.4276, 0.6581]]
}

[5]
{
  "formula": "Ac2CeSm3Te6",
  "functional": "PBE",
  "state": "relaxed",
  "e_form_raw_ev_per_atom": -1.41,
  "final_energy_ev_per_atom": -5.341,
  "vol_a3_per_cell": 400.2,
  "m_tot_mub_per_fu": 1.37,
  "lattice_angstrom": [[4.5153, 0.0000, 0.0000], [0.0000, 9.1817, 0.2881], [-2.2576, -2.6855, 9.5684]],
  "species": ["Ac", "Ac", "Ce", "Sm", "Sm", "Sm", "Te", "Te", "Te", "Te", "Te", "Te"],
  "frac_coords": [[0.8352, 0.6680, 0.6705], [0.1648, 0.3320, 0.3295], [0.5000, 0.0000, 0.0000], [0.5000, 0.5000, 0.0000], [0.8299, 0.1620, 0.6599], [0.1701, 0.8380, 0.3401], [0.3339, 0.9284, 0.6677], [0.6632, 0.5955, 0.3263], [0.6661, 0.0716, 0.3323], [0.9938, 0.2501, 0.9876], [0.0062, 0.7499, 0.0124], [0.3368, 0.4045, 0.6737]]
}

[6]
{
  "formula": "AcCeSmTh",
  "functional": "PBE",
  "state": "relaxed",
  "final_energy_ev_per_atom": -5.291,
  "vol_a3_per_cell": 139.2,
  "m_tot_mub_per_fu": 1.58,
  "e_form_ev_per_atom": 0.25,
  "lattice_angstrom": [[-1.5437, -1.8527, 5.2944], [-4.0116, -4.1753, 0.5657], [1.5608, -5.3098, 1.7934]],
  "species": ["Ac", "Ce", "Sm", "Th"],
  "frac_coords": [[0.2500, 0.2500, 0.2500], [0.0000, 0.0000, 0.0000], [0.5000, 0.5000, 0.5000], [0.7500, 0.7500, 0.7500]]
}

[7]
{
  "formula": "AcCeSmTl",
  "functional": "PBE",
  "state": "relaxed",
  "final_energy_ev_per_atom": -4.235,
  "vol_a3_per_cell": 128.6,
  "m_tot_mub_per_fu": 1.30,
  "e_form_ev_per_atom": 0.05,
  "lattice_angstrom": [[-0.4305, 5.6383, 0.3566], [-5.0810, 2.4167, 0.6683], [-1.3536, 2.4314, 4.9355]],
  "species": ["Ac", "Ce", "Tl", "Sm"],
  "frac_coords": [[0.2500, 0.2500, 0.2500], [0.5000, 0.5000, 0.5000], [0.7500, 0.7500, 0.7500], [0.0000, 0.0000, 0.0000]]
}

[8]
{
  "formula": "Ac6CeSn6",
  "functional": "PBE",
  "state": "relaxed",
  "final_energy_ev_per_atom": -4.521,
  "vol_a3_per_cell": 536.1,
  "m_tot_mub_per_fu": 0.79,
  "e_form_ev_per_atom": -0.32,
  "lattice_angstrom": [[8.0959, -0.0005, 0.0000], [-4.0474, 7.0116, 0.0000], [0.0000, 0.0000, 9.4442]],
  "species": ["Ac", "Ac", "Ac", "Ac", "Ac", "Ac", "Ce", "Sn", "Sn", "Sn", "Sn", "Sn", "Sn"],
  "frac_coords": [[0.0000, 0.5000, 0.7447], [0.5000, 0.0000, 0.7447], [0.5000, 0.5000, 0.7447], [0.5000, 0.0000, 0.2553], [0.0000, 0.5000, 0.2553], [0.5000, 0.5000, 0.2553], [0.0000, 0.0000, 0.0000], [0.0000, 0.0000, 0.6618], [0.0000, 0.0000, 0.3382], [0.3333, 0.6667, 0.0000], [0.6667, 0.3333, 0.0000], [0.3333, 0.6667, 0.5000], [0.6667, 0.3333, 0.5000]]
}

[9]
{
  "formula": "Ac2CeSn",
  "functional": "PBE",
  "state": "relaxed",
  "final_energy_ev_per_atom": -4.416,
  "vol_a3_per_cell": 148.1,
  "de_polymorph_mev_per_atom": 405.0,
  "m_tot_mub_per_fu": 1.48,
  "e_form_ev_per_atom": 0.12,
  "lattice_angstrom": [[-0.7986, 1.3233, -3.3424], [0.0469, -2.2364, -2.9252], [-12.4382, -2.9821, -0.2373]],
  "species": ["Ac", "Ac", "Sn", "Ce"],
  "frac_coords": [[0.0930, 0.0930, 0.7209], [0.9070, 0.9070, 0.2791], [0.5000, 0.5000, 0.5000], [0.0000, 0.0000, 0.0000]]
}

[10]
{
  "formula": "Ac6CeSn5",
  "functional": "PBE",
  "state": "relaxed",
  "final_energy_ev_per_atom": -4.641,
  "vol_a3_per_cell": 457.6,
  "m_tot_mub_per_fu": 2.19,
  "e_form_ev_per_atom": -0.42,
  "lattice_angstrom": [[-5.1158, -1.6532, 5.6793], [2.3469, -9.1632, 2.1139], [5.2006, -2.5788, 5.2675]],
  "species": ["Ac", "Ac", "Ac", "Ac", "Ac", "Ac", "Ce", "Sn", "Sn", "Sn", "Sn", "Sn"],
  "frac_coords": [[0.7194, 0.1038, 0.3663], [0.2806, 0.5299, 0.3663], [0.1993, 0.3084, 0.0000], [0.8007, 0.6916, 0.0000], [0.7194, 0.4701, 0.6337], [0.2806, 0.8962, 0.6337], [0.0000, 0.0000, 0.0000], [0.5000, 0.1168, 0.7663], [0.0000, 0.2748, 0.4505], [0.5000, 0.5000, 0.0000], [0.0000, 0.7252, 0.5495], [0.5000, 0.8832, 0.2337]]
}

[11]
{
  "formula": "Ac3CeSn2",
  "functional": "PBE",
  "state": "relaxed",
  "final_energy_ev_per_atom": -4.862,
  "vol_a3_per_cell": 437.9,
  "m_tot_mub_per_fu": 1.90,
  "e_form_ev_per_atom": -0.48,
  "lattice_angstrom": [[-6.1563, 2.7862, -1.4702], [-3.1411, -5.6111, 2.5191], [4.4124, 5.2762, 7.7871]],
  "species": ["Ac", "Ac", "Ac", "Ac", "Ac", "Ac", "Ce", "Ce", "Sn", "Sn", "Sn", "Sn"],
  "frac_coords": [[0.4283, 0.6779, 0.3558], [0.5717, 0.3221, 0.6442], [0.0726, 0.8221, 0.6442], [0.9274, 0.1779, 0.3558], [0.5000, 0.7500, 0.0000], [0.5000, 0.2500, 0.0000], [0.0000, 0.2500, 0.0000], [0.0000, 0.7500, 0.0000], [0.3733, 0.1329, 0.2658], [0.6267, 0.8671, 0.7342], [0.1075, 0.3671, 0.7342], [0.8925, 0.6329, 0.2658]]
}

[12]
{
  "formula": "Ac2CeSn",
  "functional": "PBE",
  "state": "relaxed",
  "final_energy_ev_per_atom": -4.821,
  "vol_a3_per_cell": 137.2,
  "de_polymorph_mev_per_atom": 0.0,
  "m_tot_mub_per_fu": 1.01,
  "e_form_ev_per_atom": -0.28,
  "lattice_angstrom": [[-3.8333, 3.2587, 0.3351], [-2.5925, -3.3612, 3.0306], [2.1819, 2.1316, 4.2307]],
  "species": ["Ac", "Ac", "Sn", "Ce"],
  "frac_coords": [[0.0000, 0.0000, 0.5000], [0.0000, 0.5000, 0.0000], [0.5000, 0.0000, 0.0000], [0.5000, 0.5000, 0.5000]]
}